Here is an optimized crystal structure of CrRu3O from the Alexandria database. Energies are from PBE with a Hubbard U.

Energy relative to the lowest polymorph listed for this composition ... 0.0 meV/atom
Calculated volume ... 67 Å³/cell
SG ... Pm-3m (221)
E ... -7.72 eV/atom

Unit cell a=4.0709 b=4.0709 c=4.0709 alpha=90.00 beta=90.00 gamma=90.00
Closest atoms and distances in Å follow each position.
Fractional positions:
Ru 0.5000 0.0000 0.0000  2 O 2.04
O 0.0000 0.0000 0.0000  6 Ru 2.04
Ru 0.0000 0.0000 0.5000  2 O 2.04
Ru 0.0000 0.5000 0.0000  2 O 2.04
Cr 0.5000 0.5000 0.5000  12 Ru 2.88